Record 1
V2Fe2Pd7, relaxed, DFT PBE-GGA; space group = C2/m, No. 12; ΔH_f (0 K) = -0.089 eV/atom; total magnetization = 2.9 μB/cell; final energy = -72.49 eV for the cell shown
1.0
-5.482 3.182 -1.742
0.241 -3.517 -3.648
-1.831 -3.165 3.515
Fe Pd V
2 7 2
Direct
0.500 0.315 0.685
0.500 0.685 0.315
0.816 0.106 0.479
0.184 0.894 0.521
0.000 0.000 0.000
0.571 0.837 0.837
0.184 0.521 0.894
0.816 0.479 0.106
0.429 0.163 0.163
0.816 0.609 0.609
0.184 0.391 0.391

***

Record 2
Ta2NbAlH, relaxed, DFT PBE-GGA; space group = P4/mmm, No. 123; total magnetization = 0.0 μB/cell; final energy = -41.38 eV for the cell shown; offset from the most stable computed form = 41 meV per atom
1.0
-0.601 -3.448 1.951
3.666 -1.231 -1.047
1.707 1.853 3.800
Nb Ta Al H
1 2 1 1
Direct
0.500 0.500 0.500
0.500 0.000 0.000
0.000 0.500 0.000
0.000 0.000 0.500
0.000 0.000 0.000